VASP calculation (GGA-PBE) on an optimized crystal structure of Rb2ZnGa.

Properties
**Crystal system**: cubic
**Density of states at the Fermi level**: 1.119 states/eV per atom
**Symmetry**: No. 225
**Final energy**: -4.99 eV/cell
**Size of the total moment**: 1.44 μB per formula unit

Structure (POSCAR):
```
Rb2ZnGa
1.0
-3.5103 -5.0178 -0.6846
-0.8149 -3.8593 4.7340
-5.4805 -0.3310 2.7970
Ga Rb Zn
1 2 1
Direct
0.5000 0.5000 0.5000
0.2500 0.2500 0.2500
0.7500 0.7500 0.7500
0.0000 0.0000 0.0000
```

VASP calculation (GGA-PBE) on an optimized crystal structure of RbZnGa.

Properties
**Crystal system**: tetragonal
**Density of states at the Fermi level**: 0.345 states/eV per atom
**Symmetry**: No. 107
**Final energy**: -4.96 eV/cell
**Size of the total moment**: 0.00 μB per formula unit

Structure (POSCAR):
```
RbZnGa
1.0
-2.6825 0.3464 2.4861
-0.0666 -3.6472 0.4363
5.7659 2.1290 3.2103
Ga Zn Rb
1 1 1
Direct
0.7171 0.7171 0.4342
0.2823 0.2823 0.5646
0.0006 0.0006 0.0011
```

VASP calculation (GGA-PBE) on an optimized crystal structure of RbZnGa2.

Properties
**Crystal system**: trigonal
**Density of states at the Fermi level**: 0.355 states/eV per atom
**Symmetry**: No. 166
**Final energy**: -8.44 eV/cell
**Size of the total moment**: 0.00 μB per formula unit

Structure (POSCAR):
```
RbZnGa2
1.0
-0.5461 -2.0489 3.8392
-2.5246 -3.5786 0.2363
4.3999 -5.7890 0.0416
Ga Zn Rb
2 1 1
Direct
0.2977 0.2977 0.1070
0.7023 0.7023 0.8930
0.0000 0.0000 0.0000
0.5000 0.5000 0.5000
```

Number 1: V 165.4 Å³ per cell, formation energy 312 meV per atom. Number 2: V 86.8 Å³ per cell, formation energy 101 meV per atom. Number 3: V 113.5 Å³ per cell, formation energy -37 meV per atom.